(1)
First-principles (GGA-PBE) data for an optimized crystal structure of La6Tb2ErTm, as listed in the Alexandria database. Values from VASP.

Structure (Quantum ESPRESSO input):
```
&SYSTEM
  ibrav = 0, nat = 20, ntyp = 4
/
ATOMIC_SPECIES
La 138.91 La.upf
Tm 168.93 Tm.upf
Tb 158.93 Tb.upf
Er 167.26 Er.upf
ATOMIC_POSITIONS angstrom
La 8.8087 -0.4536 1.8818
La 8.5780 -0.2176 6.0153
La 2.0088 4.7513 2.5783
La 1.1227 -0.9436 6.2546
La 5.0333 -0.9477 6.2504
La 5.7842 5.2454 -1.7903
La 3.9165 7.0591 1.0846
La 9.6947 5.2414 -1.7945
La 6.6702 1.3605 3.7645
La 4.1472 2.9372 0.6956
La 6.9010 -2.7613 3.3755
La 2.2395 4.5154 -1.5552
Tm 3.0780 1.6875 3.7152
Tm 7.7395 2.6103 0.7449
Tb 0.7850 1.9902 1.0126
Tb 5.4465 -0.1017 0.9472
Tb 5.3710 4.3995 3.5129
Tb 10.0325 2.3076 3.4475
Er 7.7395 -3.6741 6.8005
Er 3.0780 7.9719 -2.3404
CELL_PARAMETERS angstrom
9.3230 -2.0797 -2.1583
0.7472 8.7619 -2.0612
0.7472 -2.3845 8.6795
```

Computed properties:
SG: C2/c
Energy relative to the elements in eV per atom: 0.110
M_tot in Bohr magnetons per cell: 0.0


(2)
First-principles (GGA-PBE) data for an optimized crystal structure of CrMo2W4, as listed in the Alexandria database. Values from VASP.

Structure (Quantum ESPRESSO input):
```
&SYSTEM
  ibrav = 0, nat = 14, ntyp = 3
/
ATOMIC_SPECIES
W 183.84 W.upf
Mo 95.94 Mo.upf
Cr 52.00 Cr.upf
ATOMIC_POSITIONS angstrom
W 0.7822 5.6630 0.2316
W 0.9424 2.6499 1.2187
W 5.2235 2.1919 -0.4942
W -1.3822 3.7983 2.2580
W 2.5368 1.1637 -0.3815
W 2.8189 5.3766 -1.8294
W 0.7280 3.3059 -1.2779
W 1.9853 0.0395 2.0835
Mo 3.1333 3.8525 0.3168
Mo 6.3716 1.1728 1.7930
Mo 0.4155 6.2960 -2.2757
Mo 3.9060 1.8273 2.3345
Cr -1.6587 4.3320 -0.2536
Cr 0.7078 -0.8482 4.6221
CELL_PARAMETERS angstrom
7.0370 0.3476 -0.7619
-4.1781 6.7538 -2.7870
0.5684 -1.1211 5.0281
```

Computed properties:
SG: P1
Energy relative to the elements in eV per atom: 0.308
M_tot in Bohr magnetons per cell: 0.0


(3)
First-principles (GGA-PBE) data for an optimized crystal structure of Dy5Bi2Ru2, as listed in the Alexandria database. Values from VASP.

Structure (Quantum ESPRESSO input):
```
&SYSTEM
  ibrav = 0, nat = 18, ntyp = 3
/
ATOMIC_SPECIES
Ru 101.07 Ru.upf
Dy 162.50 Dy.upf
Bi 208.98 Bi.upf
ATOMIC_POSITIONS angstrom
Ru 2.0327 -7.5218 1.2140
Ru -1.0652 -3.9975 2.6836
Ru -2.1348 -4.9847 -2.5604
Ru 3.4226 -2.6690 -1.3346
Dy 6.9786 -2.8793 -3.0695
Dy -0.0771 -4.2088 5.4018
Dy 5.6992 -2.0482 0.1620
Dy -1.2738 -6.7289 3.2481
Dy 1.1556 -4.8749 1.3958
Dy 8.2316 0.3202 -2.2853
Dy 2.4734 -0.8929 0.6025
Dy 3.6590 -4.3012 4.6768
Dy 4.3815 -6.0302 0.9553
Dy 2.7178 -3.7382 -3.6923
Bi 6.1436 -3.8278 2.6780
Bi 0.5355 -3.5057 -1.3310
Bi 5.0485 -5.1219 -1.9473
Bi 1.6307 -2.2115 3.2943
CELL_PARAMETERS angstrom
-0.3102 -3.7453 7.5501
-2.4496 -5.7197 -2.9379
9.3331 1.8842 -3.3922
```

Computed properties:
SG: Ima2
Energy relative to the elements in eV per atom: -0.364
M_tot in Bohr magnetons per cell: 0.0


(4)
First-principles (GGA-PBE) data for an optimized crystal structure of ZrVMo2, as listed in the Alexandria database. Values from VASP.

Structure (Quantum ESPRESSO input):
```
&SYSTEM
  ibrav = 0, nat = 4, ntyp = 3
/
ATOMIC_SPECIES
Mo 95.94 Mo.upf
Zr 91.22 Zr.upf
V 50.94 V.upf
ATOMIC_POSITIONS angstrom
Mo 0.0000 0.0000 2.2645
Mo 0.0000 2.2645 0.0000
Zr 1.6171 2.2645 2.2645
V 1.6171 0.0000 0.0000
CELL_PARAMETERS angstrom
3.2343 0.0000 0.0000
0.0000 4.5290 0.0000
0.0000 0.0000 4.5290
```

Computed properties:
SG: P4/mmm
Energy relative to the elements in eV per atom: 0.086
M_tot in Bohr magnetons per cell: 0.0


(5)
First-principles (GGA-PBE) data for an optimized crystal structure of Sr2USe5, as listed in the Alexandria database. Values from VASP.

Structure (Quantum ESPRESSO input):
```
&SYSTEM
  ibrav = 0, nat = 32, ntyp = 3
/
ATOMIC_SPECIES
Sr 87.62 Sr.upf
Se 78.96 Se.upf
U 238.03 U.upf
ATOMIC_POSITIONS angstrom
Sr 4.6220 4.2758 2.1223
Sr 3.3542 8.6132 10.4024
Sr 3.3542 4.3989 10.4024
Sr 4.6220 0.0615 2.1223
Sr 7.3424 4.2758 8.3846
Sr 0.6339 4.3989 4.1400
Sr 7.3424 0.0615 8.3846
Sr 0.6339 8.6132 4.1400
Se 7.4185 6.5061 6.1685
Se 1.1329 2.1687 9.9662
Se 4.5460 6.5061 12.4308
Se 2.5582 4.7191 7.0907
Se 6.8434 6.5061 2.5585
Se 7.0669 2.1687 2.4626
Se 5.4180 0.3817 5.4340
Se 5.1210 6.5061 8.8208
Se 3.0788 6.5061 3.7997
Se 2.8553 2.1687 3.7039
Se 1.4299 8.2930 0.8283
Se 3.4303 2.1687 0.0938
Se 5.4180 3.9557 5.4340
Se 6.5464 0.3817 11.6963
Se 0.5578 2.1687 6.3562
Se 2.5582 8.2930 7.0907
Se 1.4299 4.7191 0.8283
Se 4.8975 2.1687 8.7249
Se 6.5464 3.9557 11.6963
Se 0.9094 6.5061 10.0621
U 7.4704 6.5061 12.4335
U 3.4823 2.1687 6.3535
U 4.4940 6.5061 6.1712
U 0.5059 2.1687 0.0911
CELL_PARAMETERS angstrom
7.9763 0.0000 0.0000
0.0000 8.6748 0.0000
0.0000 0.0000 12.5247
```

Computed properties:
SG: Pnma
E_form (uncorrected) in eV/atom: -1.49
M_tot in Bohr magnetons per cell: 0.0


(6)
First-principles (GGA-PBE) data for an optimized crystal structure of PaTi2Pt, as listed in the Alexandria database. Values from VASP.

Structure (Quantum ESPRESSO input):
```
&SYSTEM
  ibrav = 0, nat = 4, ntyp = 3
/
ATOMIC_SPECIES
Ti 47.87 Ti.upf
Pa 231.04 Pa.upf
Pt 195.08 Pt.upf
ATOMIC_POSITIONS angstrom
Ti 1.3668 0.5800 0.3797
Ti 4.4857 1.9034 1.2462
Pa 3.4741 -0.7646 1.9052
Pt 0.5479 -2.0063 1.0923
CELL_PARAMETERS angstrom
-0.3626 -1.1679 3.0890
1.4583 -2.8447 -0.9044
5.8525 2.4834 1.6259
```

Computed properties:
SG: P4/mmm
Energy relative to the elements in eV per atom: -0.361
M_tot in Bohr magnetons per cell: 0.0